[1]
The following is a DFT calculation (PBE) of a relaxed structure of Pm4Pr3Mg4.

Output
The space-group type is Immm (71). The calculation puts the formation energy at 1.0 eV/f.u.

Lattice parameters (Å, degrees): 5.574 7.027 10.086 110.39 106.04 90.00
Atoms (fractional coordinates):
Pr (0.000, 0.500, 0.000)
Pm (0.684, 0.921, 0.368)
Pm (0.316, 0.079, 0.632)
Pr (0.105, 0.105, 0.210)
Mg (0.500, 0.217, 0.000)
Pm (0.684, 0.447, 0.368)
Mg (0.171, 0.671, 0.341)
Pm (0.316, 0.553, 0.632)
Pr (0.895, 0.895, 0.790)
Mg (0.500, 0.783, 0.000)
Mg (0.829, 0.329, 0.659)

=====

[2]
The following is a DFT calculation (PBE) of a relaxed structure of PuSi2OsRu.

Output
The formation energy (no corrections) comes out at -3.13 eV per formula unit. The space-group type is I-4m2 (119).

Lattice parameters (Å, degrees): 4.150 4.150 5.711 111.30 111.30 90.00
Last column: magnetic moment on the atom in μB.
Atoms (fractional coordinates):
Si (0.372, 0.372, 0.744)  -0.01
Os (0.250, 0.750, 0.500)  -0.12
Si (0.628, 0.628, 0.256)  -0.01
Pu (0.000, 0.000, 0.000)  5.05
Ru (0.750, 0.250, 0.500)  -0.11

=====

[3]
The following is a DFT calculation (PBE) of a relaxed structure of AcZnInHg.

Output
The space-group type is F-43m (216). The calculation puts the formation energy at -1.3 eV/f.u.

Lattice parameters (Å, degrees): 5.321 5.321 5.321 60.00 60.00 60.00
Atoms (fractional coordinates):
Zn (0.750, 0.750, 0.750)
Ac (0.000, 0.000, 0.000)
In (0.500, 0.500, 0.500)
Hg (0.250, 0.250, 0.250)

=====

Calculated total energy for the records above, in order: -38.68; -48.82; -9.77 eV/cell